# EuLuSi | Alexandria via LeMat-Bulk | PBE-GGA | optimized geometry
data_EuLuSi
_space_group_name_H-M_alt 'P 1'
_space_group_IT_number 1
_cell_length_a 4.926
_cell_length_b 4.926
_cell_length_c 4.926
_cell_angle_alpha 60.00
_cell_angle_beta 60.00
_cell_angle_gamma 60.00
loop_
_space_group_symop_operation_xyz
'x,y,z'
loop_
_atom_site_label
_atom_site_type_symbol
_atom_site_fract_x
_atom_site_fract_y
_atom_site_fract_z
Eu1 Eu 0.500 0.500 0.500
Si1 Si 0.250 0.250 0.250
Lu1 Lu 0.000 0.000 0.000
# - raw total energy (eV/atom) = -7.085
# - total magnetization (μB per cell) = 7.4